Record 1
The following is a DFT calculation (PBE) of an optimized crystal structure of Er3RhCl3.

a = 6.6394 Å, b = 6.6394 Å, c = 11.0721 Å
α = 72.55°, β = 72.55°, γ = 60.00°
Atoms (fractional coordinates):
1 Er 0.6982 0.4082 0.8405
2 Cl 0.4284 0.7879 0.6751
3 Cl 0.7879 0.1087 0.6751
4 Er 0.9469 0.3018 0.1595
5 Rh 0.6667 0.6667 0.0000
6 Cl 0.8913 0.5716 0.3249
7 Er 0.3018 0.5918 0.1595
8 Er 0.5918 0.9469 0.1595
9 Er 0.4082 0.0531 0.8405
10 Cl 0.2121 0.8913 0.3249
11 Cl 0.5716 0.2121 0.3249
12 Rh 0.3333 0.3333 0.0000
13 Cl 0.1087 0.4284 0.6751
14 Er 0.0531 0.6982 0.8405

Results
ΔE_f (raw): -1.52 eV per atom
Space-group type: R-3

Record 2
The following is a DFT calculation (PBE) of an optimized crystal structure of Ta4TiN.

a = 6.5108 Å, b = 5.3545 Å, c = 5.7714 Å
α = 90.00°, β = 104.88°, γ = 90.00°
Atoms (fractional coordinates):
1 Ta 0.6220 0.0982 0.8509
2 Ta 0.3780 0.9018 0.1491
3 Ta 0.3003 0.3404 0.4047
4 Ti 0.0000 0.0000 0.0000
5 N 0.5000 0.0000 0.5000
6 Ta 0.8003 0.1596 0.4047
7 Ta 0.1220 0.4018 0.8509
8 Ti 0.5000 0.5000 0.0000
9 Ta 0.6997 0.6596 0.5953
10 Ta 0.1997 0.8404 0.5953
11 N 0.0000 0.5000 0.5000
12 Ta 0.8780 0.5982 0.1491

Results
ΔE_f (raw): -0.08 eV per atom
Space-group type: P2_1/c

Record 3
The following is a DFT calculation (PBE) of an optimized crystal structure of BaPmGePb.

a = 5.6325 Å, b = 5.6325 Å, c = 5.6325 Å
α = 60.00°, β = 60.00°, γ = 60.00°
Atoms (fractional coordinates):
1 Pm 0.5000 0.5000 0.5000
2 Pb 0.7500 0.7500 0.7500
3 Ba 0.0000 0.0000 0.0000
4 Ge 0.2500 0.2500 0.2500

Results
ΔH_f (0 K): -1.4 eV per formula unit
Space-group type: F-43m

Record 4
The following is a DFT calculation (PBE) of an optimized crystal structure of Er2TlNi.

a = 5.0680 Å, b = 5.0680 Å, c = 5.0680 Å
α = 60.00°, β = 60.00°, γ = 60.00°
Atoms (fractional coordinates):
1 Er 0.2500 0.2500 0.2500
2 Er 0.7500 0.7500 0.7500
3 Tl 0.0000 0.0000 0.0000
4 Ni 0.5000 0.5000 0.5000

Results
Energy above the lowest structure with this stoichiometry: 0.458 eV/f.u.
ΔH_f (0 K): -1.0 eV per formula unit
Space-group type: Fm-3m

Number 1: total moment 0.000 μB per formula unit, total DFT energy (no corrections) -74.5 eV for the cell shown. Number 2: total moment 0.000 μB per formula unit, total DFT energy (no corrections) -128.2 eV for the cell shown. Number 3: total moment 0.000 μB per formula unit, total DFT energy (no corrections) -16.4 eV for the cell shown. Number 4: total moment 0.000 μB per formula unit, total DFT energy (no corrections) -18.3 eV for the cell shown.